Record 1
# ScIn GGA-PBE optimized geometry
data_ScIn
_chemical_formula_sum 'Sc4 In4'
_cell_length_a 5.932
_cell_length_b 5.932
_cell_length_c 5.932
_cell_angle_alpha 90.00
_cell_angle_beta 90.00
_cell_angle_gamma 90.00
_symmetry_space_group_name_H-M 'F m -3 m'
_symmetry_Int_Tables_number 225
_symmetry_space_group_name_Hall '-F 4 2 3'
loop_
_atom_site_label
_atom_site_type_symbol
_atom_site_fract_x
_atom_site_fract_y
_atom_site_fract_z
Sc1 Sc 0.000 0.000 0.000
In1 In 0.000 0.000 0.500
# D(E_F)   12.08 states/eV/cell
# E_form   17 meV/atom
# Calculated density   5.1 g cm⁻³

Record 2
# Sc4In GGA-PBE optimized geometry
data_Sc4In
_chemical_formula_sum 'Sc16 In4'
_cell_length_a 4.870
_cell_length_b 6.280
_cell_length_c 15.221
_cell_angle_alpha 90.00
_cell_angle_beta 90.00
_cell_angle_gamma 90.00
_symmetry_space_group_name_H-M 'I m m a'
_symmetry_Int_Tables_number 74
_symmetry_space_group_name_Hall '-I 2b 2'
loop_
_atom_site_label
_atom_site_type_symbol
_atom_site_fract_x
_atom_site_fract_y
_atom_site_fract_z
Sc1 Sc 0.000 0.000 0.000
Sc2 Sc 0.000 0.001 0.197
Sc3 Sc 0.000 0.250 0.393
In1 In 0.000 0.250 0.611
# D(E_F)   32.18 states/eV/cell
# Relative energy among the computed polymorphs   6 meV/atom
# E_form   -166 meV/atom
# Calculated density   4.2 g cm⁻³

Record 3
# Sc3InSe GGA-PBE optimized geometry
data_Sc3InSe
_chemical_formula_sum 'Sc3 In1 Se1'
_cell_length_a 4.978
_cell_length_b 4.978
_cell_length_c 4.978
_cell_angle_alpha 90.00
_cell_angle_beta 90.00
_cell_angle_gamma 90.00
_symmetry_space_group_name_H-M 'P m -3 m'
_symmetry_Int_Tables_number 221
_symmetry_space_group_name_Hall '-P 4 2 3'
loop_
_atom_site_label
_atom_site_type_symbol
_atom_site_fract_x
_atom_site_fract_y
_atom_site_fract_z
Sc1 Sc 0.000 0.000 0.500
In1 In 0.500 0.500 0.500
Se1 Se 0.000 0.000 0.000
# D(E_F)   2.87 states/eV/cell
# Relative energy among the computed polymorphs   178 meV/atom
# Energy relative to the elements, uncorrected   -0.610 eV/atom
# Calculated density   4.4 g cm⁻³

Record 4
# ScIn3Se GGA-PBE optimized geometry
data_ScIn3Se
_chemical_formula_sum 'Sc1 In3 Se1'
_cell_length_a 5.414
_cell_length_b 5.414
_cell_length_c 5.414
_cell_angle_alpha 90.00
_cell_angle_beta 90.00
_cell_angle_gamma 90.00
_symmetry_space_group_name_H-M 'P m -3 m'
_symmetry_Int_Tables_number 221
_symmetry_space_group_name_Hall '-P 4 2 3'
loop_
_atom_site_label
_atom_site_type_symbol
_atom_site_fract_x
_atom_site_fract_y
_atom_site_fract_z
Sc1 Sc 0.000 0.000 0.000
In1 In 0.000 0.500 0.500
Se1 Se 0.500 0.500 0.500
# D(E_F)   7.48 states/eV/cell
# Relative energy among the computed polymorphs   0 meV/atom
# Energy relative to the elements, uncorrected   0.428 eV/atom
# Calculated density   4.9 g cm⁻³